# Zr2Sb2Pd7Au

Zr2Sb2Pd7Au after structural relaxation (GGA-PBE, Alexandria).

```
12
Lattice="2.7167 -2.6953 0.0000 2.7167 2.6953 0.0000 -1.8089 0.0000 15.5469" Properties=species:S:1:pos:R:3 pbc="T T T"
Zr -0.0070 0.0000 4.0908
Zr 3.6315 0.0000 11.4561
Sb 0.7908 0.0000 9.6992
Sb 2.8337 0.0000 5.8477
Pd 0.0000 0.0000 0.0000
Pd 1.3569 1.3457 2.1801
Pd 0.3497 0.0000 7.0633
Pd 2.2676 1.3457 13.3668
Pd 1.3569 -1.3457 2.1801
Pd 3.2748 0.0000 8.4836
Pd 2.2676 -1.3457 13.3668
Au 2.7167 0.0000 0.0000
```

Output
density of states at the Fermi level = 6.530 states/eV/f.u.
formation energy from raw total energies = -0.30 eV per atom
electronic total energy = -5.7109 eV per atom